Entry 1:
The following is a GGA-PBE calculation of an optimized crystal structure of TaNi5Rh2, from Alexandria.

a = 3.658 Å, b = 5.253 Å, c = 10.508 Å
α = 90.00°, β = 90.00°, γ = 90.00°
Fractional coordinates of all 16 atoms:
1 Rh 0.500 0.246 0.127
2 Rh 0.500 0.746 0.373
3 Rh 0.500 0.254 0.627
4 Rh 0.500 0.754 0.873
5 Ni 0.000 0.500 0.500
6 Ni 0.000 0.000 0.000
7 Ni 0.500 0.257 0.372
8 Ni 0.000 0.004 0.252
9 Ni 0.500 0.743 0.628
10 Ni 0.500 0.757 0.128
11 Ni 0.000 0.496 0.752
12 Ni 0.000 0.996 0.748
13 Ni 0.500 0.243 0.872
14 Ni 0.000 0.504 0.248
15 Ta 0.000 0.500 0.000
16 Ta 0.000 0.000 0.500

Size of the total moment (μB/cell): 3.3
Calculated volume (Å³/cell): 202
Density of states at the Fermi level (states/eV per atom): 1.61
Crystal system: orthorhombic
SG: Pbam
E (hartree per atom): -0.262

***

Entry 2:
The following is a GGA-PBE calculation of an optimized crystal structure of TaNi2Rh2, from Alexandria.

a = 3.803 Å, b = 4.629 Å, c = 5.963 Å
α = 129.83°, β = 90.00°, γ = 114.25°
Fractional coordinates of all 5 atoms:
1 Ni 0.306 0.612 0.407
2 Ni 0.694 0.388 0.593
3 Rh 0.911 0.822 0.211
4 Rh 0.089 0.178 0.789
5 Ta 0.500 0.000 0.000

Size of the total moment (μB/cell): 0.0
Energy above the lowest structure with this stoichiometry (kcal/mol of atoms): 0.00
Calculated volume (Å³/cell): 68
Density of states at the Fermi level (states/eV per atom): 1.25
Crystal system: monoclinic
SG: C2/m

***

Entry 3:
The following is a GGA-PBE calculation of an optimized crystal structure of Ta2Ni7Rh, from Alexandria.

a = 3.476 Å, b = 7.585 Å, c = 7.585 Å
α = 131.24°, β = 90.00°, γ = 90.00°
Fractional coordinates of all 10 atoms:
1 Ni 0.500 0.708 0.905
2 Ni 0.000 0.180 0.820
3 Ni 0.500 0.500 0.500
4 Ni 0.000 0.820 0.180
5 Ni 0.500 0.095 0.292
6 Ni 0.500 0.905 0.708
7 Ni 0.500 0.292 0.095
8 Rh 0.000 0.000 0.000
9 Ta 0.500 0.700 0.300
10 Ta 0.500 0.300 0.700

Size of the total moment (μB/cell): 0.2
Calculated volume (Å³/cell): 150
Density of states at the Fermi level (states/eV per atom): 1.16
Crystal system: orthorhombic
SG: Cmmm
E (hartree per atom): -0.247

***

Entry 4:
The following is a GGA-PBE calculation of an optimized crystal structure of TaNi2Rh2, from Alexandria.

a = 6.943 Å, b = 6.943 Å, c = 2.896 Å
α = 90.00°, β = 90.00°, γ = 90.00°
Fractional coordinates of all 10 atoms:
1 Ni 0.336 0.164 0.500
2 Ni 0.664 0.836 0.500
3 Ni 0.836 0.336 0.500
4 Ni 0.164 0.664 0.500
5 Rh 0.134 0.366 0.000
6 Rh 0.366 0.866 0.000
7 Rh 0.634 0.134 0.000
8 Rh 0.866 0.634 0.000
9 Ta 0.000 0.000 0.000
10 Ta 0.500 0.500 0.000

Size of the total moment (μB/cell): 0.0
Energy above the lowest structure with this stoichiometry (kcal/mol of atoms): 6.03
Calculated volume (Å³/cell): 140
Density of states at the Fermi level (states/eV per atom): 1.08
Crystal system: tetragonal
SG: P4/mbm